--- P ---
Below is a relaxed RbTeMo3 crystal, with properties calculated at the PBE level.

Cell and atoms, written as extended XYZ:
```
5
Lattice="4.8066 0.0000 0.0000 0.0000 4.8066 0.0000 0.0000 0.0000 4.8066" Properties=species:S:1:pos:R:3 pbc="T T T"
Rb 0.0000 0.0000 0.0000
Mo 2.4033 0.0000 0.0000
Mo 0.0000 2.4033 0.0000
Mo 0.0000 0.0000 2.4033
Te 2.4033 2.4033 2.4033
```

=====

--- Q ---
Below is a relaxed RbTeMo3 crystal, with properties calculated at the PBE level.

Cell and atoms, written as extended XYZ:
```
5
Lattice="-3.1587 -3.9289 1.0165 2.3920 -2.8431 -3.5556 3.2783 -1.7111 3.5737" Properties=species:S:1:pos:R:3 pbc="T T T"
Te 0.0000 0.0000 0.0000
Mo 1.1960 -1.4215 -1.7778
Mo -1.5794 -1.9644 0.5083
Mo 1.6392 -0.8556 1.7869
Rb 1.2558 -4.2415 0.5173
```

=====

Quick look at relative energies in eV/atom: P 1.197; Q 0.000.

=====

--- P ---
Below is a relaxed RbTiMo3 crystal, with properties calculated at the PBE level.

Cell and atoms, written as extended XYZ:
```
5
Lattice="4.8479 0.0000 0.0000 0.0000 4.8479 0.0000 0.0000 0.0000 4.8479" Properties=species:S:1:pos:R:3 pbc="T T T"
Rb 2.4239 2.4239 2.4239
Mo 0.0000 0.0000 2.4239
Mo 0.0000 2.4239 0.0000
Mo 2.4239 0.0000 0.0000
Ti 0.0000 0.0000 0.0000
```

=====

--- Q ---
Below is a relaxed RbTiMo3 crystal, with properties calculated at the PBE level.

Cell and atoms, written as extended XYZ:
```
5
Lattice="-0.5722 4.0593 2.2293 -3.7709 -1.7123 2.1501 2.6884 -1.5378 3.4903" Properties=species:S:1:pos:R:3 pbc="T T T"
Rb 0.0000 0.0000 0.0000
Ti -0.8274 0.4045 3.9348
Mo -0.2861 2.0296 1.1146
Mo -1.8855 -0.8562 1.0750
Mo 1.3442 -0.7689 1.7452
```

=====

Quick look at relative energies in eV/atom: P 0.000; Q 1.122.

=====

--- P ---
Below is a relaxed RbTlMo2 crystal, with properties calculated at the PBE level.

Cell and atoms, written as extended XYZ:
```
8
Lattice="8.5030 0.0000 0.0000 0.0000 8.5030 0.0000 4.2515 4.2515 2.7788" Properties=species:S:1:pos:R:3 pbc="T T T"
Tl 0.0000 0.0000 0.0000
Tl 8.5030 4.2515 1.3894
Rb 4.2515 4.2515 0.0000
Rb 4.2515 8.5030 1.3894
Mo 10.6287 10.9941 2.0841
Mo 1.7603 6.3772 0.6947
Mo 6.7426 2.1257 0.6947
Mo 6.3772 6.0118 2.0841
```

=====

--- Q ---
Below is a relaxed RbTlMo2 crystal, with properties calculated at the PBE level.

Cell and atoms, written as extended XYZ:
```
4
Lattice="2.2770 2.4510 3.7566 -2.2833 3.9016 2.2064 -1.7356 -0.4318 4.7017" Properties=species:S:1:pos:R:3 pbc="T T T"
Tl -0.8710 2.9604 5.3323
Mo -1.3064 4.4406 7.9985
Mo -0.4355 1.4802 2.6662
Rb 0.0000 0.0000 0.0000
```

=====

Quick look at relative energies in eV/atom: P 0.070; Q 0.000.

=====

--- P ---
Below is a relaxed RbTlMo3 crystal, with properties calculated at the PBE level.

Cell and atoms, written as extended XYZ:
```
5
Lattice="4.7629 0.0000 0.0000 0.0000 4.7629 0.0000 0.0000 0.0000 4.7629" Properties=species:S:1:pos:R:3 pbc="T T T"
Mo 0.0000 0.0000 2.3815
Mo 2.3815 0.0000 0.0000
Mo 0.0000 2.3815 0.0000
Tl 2.3815 2.3815 2.3815
Rb 0.0000 0.0000 0.0000
```

=====

--- Q ---
Below is a relaxed RbTlMo3 crystal, with properties calculated at the PBE level.

Cell and atoms, written as extended XYZ:
```
5
Lattice="-4.5892 -2.3001 0.8374 2.2776 -3.3605 3.2514 -0.8968 3.2355 3.9723" Properties=species:S:1:pos:R:3 pbc="T T T"
Tl 0.0000 0.0000 0.0000
Mo -0.4484 1.6178 1.9862
Mo 1.1388 -1.6803 1.6257
Mo -2.2946 -1.1501 0.4187
Rb -1.6042 -1.2126 4.0306
```

=====

Quick look at relative energies in eV/atom: P 0.439; Q 0.000.

=====

--- P ---
Below is a relaxed RbVMo3 crystal, with properties calculated at the PBE level.

Cell and atoms, written as extended XYZ:
```
5
Lattice="-2.1391 3.7611 -1.7305 0.2874 -1.8082 -4.2854 -4.1302 -2.0738 0.5981" Properties=species:S:1:pos:R:3 pbc="T T T"
Mo 0.1437 -0.9041 -2.1427
Mo -2.0651 -1.0369 0.2991
Mo -1.0696 1.8806 -0.8652
V -2.9910 -0.0605 -2.7089
Rb 0.0000 0.0000 0.0000
```

=====

--- Q ---
Below is a relaxed RbVMo3 crystal, with properties calculated at the PBE level.

Cell and atoms, written as extended XYZ:
```
5
Lattice="-3.2656 -3.1833 1.3555 3.3962 -3.3051 0.4204 0.6603 1.2562 4.5410" Properties=species:S:1:pos:R:3 pbc="T T T"
V 0.0000 0.0000 0.0000
Mo 1.6981 -1.6525 0.2102
Mo 0.3302 0.6281 2.2705
Mo -1.6328 -1.5916 0.6777
Rb 0.3955 -2.6161 3.1584
```

=====

Quick look at relative energies in eV/atom: P 1.506; Q 0.000.

=====

--- P ---
Below is a relaxed Rb2VMo crystal, with properties calculated at the PBE level.

Cell and atoms, written as extended XYZ:
```
8
Lattice="-5.5707 11.5097 -4.6224 -12.1849 -4.1319 4.3963 -8.5005 4.6567 1.8422" Properties=species:S:1:pos:R:3 pbc="T T T"
Mo -11.4745 9.9277 -1.4466
Mo 0.0000 0.0000 0.0000
V -14.7816 2.1069 3.0628
V -8.8778 3.6889 -0.1130
Rb -19.6647 10.7101 0.3733
Rb -15.2805 5.4973 2.1076
Rb -6.1027 5.7189 -1.0265
Rb -11.4642 2.1428 1.7781
```

=====

--- Q ---
Below is a relaxed Rb2VMo crystal, with properties calculated at the PBE level.

Cell and atoms, written as extended XYZ:
```
4
Lattice="0.0653 -5.5802 2.8085 -3.1926 -0.8673 5.2996 -5.1377 -3.5545 0.0057" Properties=species:S:1:pos:R:3 pbc="T T T"
Mo -4.1325 -5.0010 4.0569
V 0.0000 0.0000 0.0000
Rb -2.0663 -2.5005 2.0285
Rb -6.1988 -7.5014 6.0854
```

=====

Quick look at relative energies in eV/atom: P 0.000; Q 0.612.

=====

--- P ---
Below is a relaxed RbMoW2 crystal, with properties calculated at the PBE level.

Cell and atoms, written as extended XYZ:
```
8
Lattice="-4.2670 -1.2346 2.7512 2.9320 -0.5846 4.2851 -1.8296 7.4068 5.4477" Properties=species:S:1:pos:R:3 pbc="T T T"
Rb -0.6675 -0.9096 3.5181
Rb 0.2175 2.9564 6.6254
W -2.6050 5.0189 5.6543
W -2.3597 0.4058 6.4481
W -4.7401 4.4020 7.0275
W -3.8233 0.6987 4.3040
Mo -3.3820 2.6313 5.8585
Mo 0.0000 0.0000 0.0000
```

=====

--- Q ---
Below is a relaxed RbMoW2 crystal, with properties calculated at the PBE level.

Cell and atoms, written as extended XYZ:
```
4
Lattice="0.0000 3.3349 3.3349 3.3349 0.0000 3.3349 3.3349 3.3349 0.0000" Properties=species:S:1:pos:R:3 pbc="T T T"
Mo 3.3349 3.3349 3.3349
W 1.6675 1.6675 1.6675
W 5.0024 5.0024 5.0024
Rb 0.0000 0.0000 0.0000
```

=====

Quick look at relative energies in eV/atom: P 0.152; Q 0.000.

=====

--- P ---
Below is a relaxed Rb2MoW crystal, with properties calculated at the PBE level.

Cell and atoms, written as extended XYZ:
```
4
Lattice="1.6061 -4.7158 -3.7380 2.6812 -5.0904 2.3853 -3.1541 -5.3658 0.2255" Properties=species:S:1:pos:R:3 pbc="T T T"
W 0.5666 -7.5860 -0.5636
Rb 0.8499 -11.3791 -0.8454
Rb 0.2833 -3.7930 -0.2818
Mo 0.0000 0.0000 0.0000
```

=====

--- Q ---
Below is a relaxed Rb2MoW crystal, with properties calculated at the PBE level.

Cell and atoms, written as extended XYZ:
```
8
Lattice="-2.3766 13.2730 1.1794 -2.3238 0.7668 -13.3125 -4.5748 6.5893 -5.7030" Properties=species:S:1:pos:R:3 pbc="T T T"
Rb -2.4772 7.5683 -2.5722
Rb -7.1114 17.0840 -12.4160
Rb -5.6263 10.3496 -11.3050
Rb -3.3355 6.2561 -9.3791
W 0.0000 0.0000 0.0000
W -4.6508 13.4411 -5.2951
Mo -4.6244 7.1880 -12.5410
Mo -2.3502 7.0199 -6.0665
```

=====

Quick look at relative energies in eV/atom: P 0.829; Q 0.000.